The following is a DFT calculation (meta-GGA SCAN) of CrTc2Pb at its PBEsol-relaxed geometry.

DFT total energy (eV per atom): -40.52
Total moment (μB/cell): 17.3
ΔE_f (kJ per mole of atoms): 53.2
E above lowest polymorph (meV/atom): 185

a b c (Å): 6.2718 6.2718 6.2718
angles (deg): 90.00 90.00 90.00
Closest atoms and distances in Å follow each position.
Space group F-43m (No. 216)
Unique sites:
Cr1 0.0000 0.0000 0.0000 [4 per cell]  4 Pb 2.72, 4 Tc 2.72
Tc1 0.0000 0.0000 0.5000 [4 per cell]  4 Pb 2.72, 4 Tc 2.72
Tc2 0.2500 0.2500 0.7500 [4 per cell]  4 Cr 2.72, 4 Tc 2.72
Pb1 0.2500 0.2500 0.2500 [4 per cell]  4 Cr 2.72, 4 Tc 2.72

The following is a DFT calculation (meta-GGA SCAN) of ZrSbH3 at its PBEsol-relaxed geometry.

DFT total energy (eV per atom): -14.84
Total moment (μB/cell): 1.0
E above lowest polymorph (meV/atom): 827

a b c (Å): 3.8788 3.8788 3.8788
angles (deg): 90.00 90.00 90.00
Closest atoms and distances in Å follow each position.
Space group Pm-3m (No. 221)
Unique sites:
Zr1 0.0000 0.0000 0.0000 [1 per cell]  12 H 2.74
Sb1 0.5000 0.5000 0.5000 [1 per cell]  6 H 1.94
H1 0.0000 0.5000 0.5000 [3 per cell]  2 Sb 1.94

Q: Which formula does entry 2 have?
A: ZrSbH3